VASP calculation (PBE) on crystalline HfZrSn2 at its relaxed geometry.

Formation energy from the elements ... -126 meV per atom
N(E_F) ... 0.76 states/eV per cell
Energy ... -54.026 eV for the cell shown
Calculated volume ... 24.21 Å³/atom

Lattice parameters (Å, degrees): 7.878 7.878 6.385 51.91 51.91 90.00
Element x y z (fractional)
Hf: 0.000 0.000 0.000
Hf: 0.750 0.250 0.500
Sn: 0.627 0.125 0.250
Sn: 0.123 0.625 0.250
Sn: 0.375 0.373 0.750
Sn: 0.875 0.877 0.750
Zr: 0.500 0.500 0.000
Zr: 0.250 0.750 0.500

VASP calculation (PBE) on crystalline Hf4ZrSn at its relaxed geometry.

Formation energy from the elements ... 470 meV per atom
N(E_F) ... 10.32 states/eV per cell
Energy ... -99.094 eV for the cell shown
Calculated volume ... 25.72 Å³/atom

Lattice parameters (Å, degrees): 6.725 6.725 6.825 90.01 90.00 90.00
Element x y z (fractional)
Hf: 0.250 0.750 0.265
Hf: 0.250 0.250 0.265
Hf: 0.750 0.750 0.265
Hf: 0.250 0.750 0.735
Hf: 0.750 0.250 0.265
Hf: 0.250 0.250 0.735
Hf: 0.750 0.750 0.735
Hf: 0.750 0.250 0.735
Zr: 0.000 0.500 0.500
Zr: 0.500 0.000 0.500
Sn: 0.500 0.500 0.000
Sn: 0.000 0.000 0.000

VASP calculation (PBE) on crystalline Hf5Zr2Sn4 at its relaxed geometry.

Formation energy from the elements ... 278 meV per atom
N(E_F) ... 12.73 states/eV per cell
Energy ... -79.813 eV for the cell shown
Calculated volume ... 24.80 Å³/atom

Lattice parameters (Å, degrees): 3.049 7.969 12.009 109.38 97.29 90.00
Element x y z (fractional)
Hf: 0.875 0.057 0.751
Hf: 0.875 0.694 0.751
Hf: 0.125 0.306 0.249
Hf: 0.125 0.943 0.249
Hf: 0.500 0.000 0.000
Zr: 0.245 0.245 0.491
Zr: 0.755 0.755 0.509
Sn: 0.000 0.320 0.000
Sn: 0.625 0.625 0.250
Sn: 0.000 0.680 0.000
Sn: 0.375 0.375 0.750